A plane-wave DFT calculation with PBEsol was carried out for a geometry-optimized LiP2Os structure.

Cell: 7.723 7.723 7.723 Å, 21.70 21.70 21.70°
Element x y z (fractional)
Li 0.000 0.000 0.000
P 0.247 0.247 0.247
P 0.505 0.505 0.505
Os 0.767 0.767 0.767

Space-group type: R3m
DFT total energy: -6.347 eV per atom
Energy of formation: 94.2 meV per atom
Density of states at the Fermi level: 2.521 states/eV/cell
V: 13.794 A^3/atom